(1)
PBEsol YScBr3, relaxed; uncorrected formation energy = -0.70 eV/atom; DOS(E_F) = 7.667 states/eV/f.u.
1.0
5.4663 0.0000 0.0000
0.0000 5.4663 0.0000
0.0000 0.0000 5.4663
Sc Br Y
1 3 1
direct
0.5000 0.5000 0.5000
0.0000 0.5000 0.0000
0.5000 0.0000 0.0000
0.0000 0.0000 0.5000
0.0000 0.0000 0.0000

=====

(2)
PBEsol LiScP, relaxed; ΔH_f (0 K) = -272.1 kJ/mol of formula units; DOS(E_F) = 1.367 states/eV/f.u.
1.0
-1.3686 3.8410 1.0639
-3.8149 1.2948 -1.2363
-3.0984 0.4254 2.8244
P Sc Li
1 1 1
direct
0.2500 0.2500 0.2500
0.0000 0.0000 0.0000
0.5000 0.5000 0.5000

=====

(3)
PBEsol La2AlSe, relaxed; uncorrected formation energy = -1.03 eV/atom; DOS(E_F) = 2.741 states/eV/f.u.; polymorph energy (0 for the lowest one) = 0 meV per atom
1.0
-3.5776 2.1053 -0.0335
-2.4937 -0.0920 3.3176
1.6366 6.9379 4.0197
Al La Se
1 2 1
direct
0.0000 0.0000 0.0000
0.2446 0.2446 0.2663
0.7554 0.7554 0.7337
0.5000 0.5000 0.5000

=====

(4)
PBEsol Si3AsSe, relaxed; uncorrected formation energy = 1.01 eV/atom; DOS(E_F) = 4.246 states/eV/f.u.
1.0
4.7655 0.0000 0.0000
0.0000 4.7655 0.0000
0.0000 0.0000 4.7655
Si As Se
3 1 1
direct
0.0000 0.0000 0.5000
0.0000 0.5000 0.0000
0.5000 0.0000 0.0000
0.0000 0.0000 0.0000
0.5000 0.5000 0.5000

=====

(5)
PBEsol ZrZnPd3, relaxed; ΔH_f (0 K) = 389.2 kJ/mol of formula units; DOS(E_F) = 2.058 states/eV/f.u.
1.0
4.7940 0.0000 0.0000
0.0000 4.7940 0.0000
0.0000 0.0000 4.7940
Zn Pd Zr
1 3 1
direct
0.5000 0.5000 0.5000
0.0000 0.5000 0.0000
0.5000 0.0000 0.0000
0.0000 0.0000 0.5000
0.0000 0.0000 0.0000

=====

(6)
PBEsol Cr2ReRu, relaxed; ΔH_f (0 K) = 86.4 kJ/mol of formula units; DOS(E_F) = 4.362 states/eV/f.u.
1.0
2.9489 0.0000 0.0000
0.0000 4.2636 0.0000
-1.4745 -2.1318 4.0943
Ru Re Cr
1 1 2
direct
0.0000 0.5000 0.0000
0.5000 0.0000 0.0000
0.7612 0.7612 0.5225
0.2388 0.2388 0.4775

=====

(7)
PBEsol TaTl, relaxed; ΔH_f (0 K) = 218.7 kJ/mol of formula units; DOS(E_F) = 0.897 states/eV/f.u.; polymorph energy (0 for the lowest one) = 606 meV per atom
1.0
3.9581 0.0000 0.0000
1.9791 3.4278 0.0000
1.9791 1.1426 3.2318
Ta Tl
1 1
direct
0.0000 0.0000 0.0000
0.5000 0.5000 0.5000

=====

(8)
PBEsol TaTlN2O, relaxed; uncorrected formation energy = 1.67 eV/atom; DOS(E_F) = 3.677 states/eV/f.u.
1.0
4.0440 0.0000 0.0000
0.0000 4.1113 0.0000
0.0000 0.0000 4.1113
Ta N O Tl
1 2 1 1
direct
0.5000 0.5000 0.5000
0.0000 0.5000 0.0000
0.0000 0.0000 0.5000
0.5000 0.0000 0.0000
0.0000 0.0000 0.0000

=====

(9)
PBEsol Ta3Tc, relaxed; ΔH_f (0 K) = -78.0 kJ/mol of formula units; DOS(E_F) = 3.326 states/eV/f.u.; polymorph energy (0 for the lowest one) = 56 meV per atom
1.0
4.5362 0.0000 0.0000
2.2681 3.9285 0.0000
2.2681 1.3095 3.7038
Ta Tc
3 1
direct
0.5000 0.5000 0.5000
0.2500 0.2500 0.2500
0.7500 0.7500 0.7500
0.0000 0.0000 0.0000

=====

(10)
PBEsol KBa3Ga5Se10Cl2, relaxed; uncorrected formation energy = -1.25 eV/atom; DOS(E_F) = 0.000 states/eV/f.u.
1.0
8.5957 -0.0003 -0.0674
0.0029 8.6254 -0.0062
4.1992 4.2824 7.7125
Se Ga Ba Cl K
10 5 3 2 1
direct
0.6516 0.5526 0.5265
0.4518 0.1806 0.4650
0.9565 0.8518 0.8519
0.7114 0.0636 0.1278
0.1339 0.8066 0.1543
0.5532 0.0427 0.8607
0.8308 0.9226 0.5123
0.9611 0.4213 0.1385
0.1921 0.2832 0.8543
0.0660 0.3392 0.5005
0.8518 0.0633 0.6723
0.9281 0.5243 0.3387
0.7437 0.1472 0.3188
0.9932 0.9971 0.0006
0.4720 0.2636 0.6641
0.3638 0.7645 0.7694
0.2500 0.1282 0.2304
0.8803 0.4949 0.7746
0.5005 0.4976 0.9986
0.2472 0.7554 0.5083
0.5110 0.6496 0.2325

=====

(11)
PBEsol PRhCl2, relaxed; uncorrected formation energy = -0.77 eV/atom; DOS(E_F) = 0.000 states/eV/f.u.; polymorph energy (0 for the lowest one) = 0 meV per atom
1.0
3.4477 0.0000 0.0000
-1.7239 2.9858 0.0000
0.0000 0.0000 7.7154
Cl Rh P
2 1 1
direct
0.0000 0.0000 0.0887
0.6667 0.3333 0.6894
0.3333 0.6667 0.2935
0.6667 0.3333 0.4284

=====

(12)
PBEsol TlSb2, relaxed; uncorrected formation energy = 0.09 eV/atom; DOS(E_F) = 1.464 states/eV/f.u.
1.0
6.3131 0.0000 0.0000
-3.1565 5.4673 0.0000
0.0000 0.0000 20.4552
Sb Tl
16 8
direct
0.1619 0.8381 0.7500
0.8381 0.6762 0.2500
0.8381 0.1619 0.2500
0.5000 0.5000 0.5000
0.3333 0.6667 0.6255
0.3238 0.1619 0.2500
0.0000 0.5000 0.0000
0.6667 0.3333 0.1255
0.6762 0.8381 0.7500
0.3333 0.6667 0.8745
0.1619 0.3238 0.7500
0.5000 0.5000 0.0000
0.5000 0.0000 0.0000
0.6667 0.3333 0.3745
0.0000 0.5000 0.5000
0.5000 0.0000 0.5000
0.3333 0.6667 0.3447
0.0000 0.0000 0.0915
0.6667 0.3333 0.6553
0.3333 0.6667 0.1553
0.0000 0.0000 0.9085
0.6667 0.3333 0.8447
0.0000 0.0000 0.5915
0.0000 0.0000 0.4085

=====

(13)
PBEsol Ba2AlAs, relaxed; ΔH_f (0 K) = -124.9 kJ/mol of formula units; DOS(E_F) = 2.832 states/eV/f.u.; polymorph energy (0 for the lowest one) = 120 meV per atom
1.0
-4.1197 1.3097 1.9519
0.3384 -3.5672 3.1077
4.5949 4.4287 0.9635
As Ba Al
1 2 1
direct
0.2500 0.7500 0.5000
0.0000 0.0000 0.0000
0.7500 0.2500 0.5000
0.5000 0.5000 0.0000

=====

(14)
PBEsol Mn2Al2H, relaxed; DOS(E_F) = 3.635 states/eV/f.u.; final energy = -0.22516 Ha/atom
1.0
4.0928 0.0000 0.0000
0.0000 5.2077 0.0000
0.0000 0.0000 5.2077
H Mn Al
2 4 4
direct
0.0000 0.5000 0.5000
0.0000 0.0000 0.0000
0.0000 0.1577 0.3423
0.0000 0.6577 0.1577
0.0000 0.3423 0.8423
0.0000 0.8423 0.6577
0.5000 0.6659 0.8341
0.5000 0.3341 0.1659
0.5000 0.8341 0.3341
0.5000 0.1659 0.6659

=====

(15)
PBEsol Sc2CoPt, relaxed; ΔH_f (0 K) = -235.6 kJ/mol of formula units; DOS(E_F) = 2.069 states/eV/f.u.
1.0
-1.3505 2.6592 2.2846
1.8766 -1.5186 2.8770
3.3095 2.0554 -3.5252
Sc Pt Co
2 1 1
direct
0.7499 0.2499 0.4998
0.0000 0.0000 0.9999
0.2500 0.7500 0.5001
0.5001 0.5001 0.0002

=====

(16)
PBEsol LaRe2As, relaxed; ΔH_f (0 K) = 107.9 kJ/mol of formula units; DOS(E_F) = 2.682 states/eV/f.u.
1.0
-2.3194 1.0274 -1.4724
-0.0792 -0.1856 -2.9262
-5.0318 -8.3275 -0.8057
Re As La
2 1 1
direct
0.0131 0.0131 0.9608
0.7498 0.7498 0.7506
0.4860 0.4860 0.5419
0.2511 0.2511 0.2467

=====

(17)
PBEsol SrSi2Au, relaxed; uncorrected formation energy = 0.10 eV/atom; DOS(E_F) = 1.789 states/eV/f.u.
1.0
4.8248 0.0000 0.0000
2.4124 4.1784 0.0000
2.4124 1.3928 3.9395
Si Au Sr
2 1 1
direct
0.7500 0.7500 0.7500
0.2500 0.2500 0.2500
0.0000 0.0000 0.0000
0.5000 0.5000 0.5000

=====

(18)
PBEsol Sr3RuI, relaxed; uncorrected formation energy = -0.08 eV/atom; DOS(E_F) = 4.628 states/eV/f.u.
1.0
-2.2569 -0.4320 5.2231
-5.1964 -0.5550 -2.2913
0.6815 -5.6627 -0.1738
I Ru Sr
1 1 3
direct
0.5000 0.5000 0.5000
0.0000 0.0000 0.0000
0.5000 0.0000 0.0000
0.0000 0.5000 0.0000
0.0000 0.0000 0.5000

=====

(19)
PBEsol FeMoRh2, relaxed; ΔH_f (0 K) = -44.8 kJ/mol of formula units; DOS(E_F) = 3.165 states/eV/f.u.; polymorph energy (0 for the lowest one) = 20 meV per atom
1.0
-2.4625 -0.7999 -0.7127
1.3913 -1.5333 -3.0863
0.7370 -4.6016 2.6183
Mo Rh Fe
1 2 1
direct
0.5000 0.5000 0.5000
0.0000 0.0000 0.2427
0.0000 0.0000 0.7573
0.5000 0.5000 0.0000

=====

(20)
PBEsol BaScOs2, relaxed; ΔH_f (0 K) = 228.1 kJ/mol of formula units; DOS(E_F) = 3.436 states/eV/f.u.; polymorph energy (0 for the lowest one) = 58 meV per atom
1.0
3.0400 0.0000 0.0000
-1.5200 4.3543 0.0717
0.0000 -0.6758 6.6514
Ba Os Sc
1 2 1
direct
0.0000 0.0000 0.5000
0.2336 0.4672 0.1577
0.7664 0.5328 0.8423
0.5000 0.0000 0.0000